# AcPm5Ge3

A geometry-optimized AcPm5Ge3 structure (PBE, Alexandria via LeMat-Bulk).

Unit cell a=6.699 b=9.240 c=9.239 alpha=120.00 beta=90.00 gamma=90.00
Site moments in Bohr magnetons follow the coordinates.
Fractional positions:
Ge: 0.750 0.000 0.663  -0.02
Ge: 0.750 0.663 0.000  -0.02
Ge: 0.250 0.337 0.000  -0.02
Ge: 0.750 0.336 0.337  -0.02
Ge: 0.250 0.000 0.337  -0.02
Ge: 0.250 0.664 0.663  -0.02
Ac: 0.500 0.000 0.000  0.18
Ac: 0.000 0.000 0.000  0.18
Pm: 0.500 0.667 0.333  0.30
Pm: 0.750 0.663 0.663  0.21
Pm: 0.750 0.337 0.000  0.21
Pm: 0.250 0.663 0.000  0.21
Pm: 0.000 0.333 0.667  0.30
Pm: 0.750 0.000 0.337  0.21
Pm: 0.250 0.000 0.663  0.21
Pm: 0.500 0.333 0.667  0.30
Pm: 0.000 0.667 0.333  0.30
Pm: 0.250 0.337 0.337  0.21

## Properties
Formation energy: -11.13 kcal/mol of atoms